1.
# HoGa2Ag3

An optimized crystal structure of HoGa2Ag3 (PBE, the Alexandria database).

The value obtained for the formation energy is -1.6 eV per formula unit. The relative energy among the computed polymorphs is 0 meV/atom.

The structure belongs to space group C2/m (No. 12); the cell edges are 15.858, 4.440 and 6.933 Å and the angles 90.00°, 108.02° and 90.00°. The distinct sites, in fractional coordinates, are Ho at (0.120, 0.000, 0.176), Ga at (0.012, 0.500, 0.824), Ga at (0.232, 0.000, 0.670), Ag at (0.067, 0.000, 0.693), Ag at (0.133, 0.500, 0.499) and Ag at (0.191, 0.500, 0.926).

***

2.
# Ho2Ga12Ag

An optimized crystal structure of Ho2Ga12Ag (PBE, the Alexandria database).

The value obtained for the formation energy is -3.7 eV per formula unit.

The structure belongs to space group P4/nbm (No. 125, origin choice 2); the cell edges are 6.227, 6.227 and 15.166 Å and the angles 90.00°, 90.00° and 90.00°. The distinct sites, in fractional coordinates, are Ho at (0.250, 0.750, 0.247), Ga at (0.000, 0.000, 0.095), Ga at (0.085, 0.585, 0.430), Ga at (0.250, 0.250, 0.188), Ga at (0.250, 0.250, 0.348) and Ag at (0.250, 0.750, 0.000).

***

3.
# Ho2Ga7Ag12

An optimized crystal structure of Ho2Ga7Ag12 (PBE, the Alexandria database).

The value obtained for the formation energy is -3.0 eV per formula unit.

The structure belongs to space group P-3 (No. 147); the cell edges are 11.8253, 11.8253 and 3.1910 Å and the angles 90.00°, 90.00° and 120.00°. The distinct sites, in fractional coordinates, are Ho at (0.3333, 0.6667, 0.2480), Ga at (0.0000, 0.0000, 0.5000), Ga at (0.1365, 0.7126, 0.7485), Ag at (0.0765, 0.2454, 0.2467) and Ag at (0.0773, 0.4575, 0.7502).

***

4.
# HoGa7Ag5

An optimized crystal structure of HoGa7Ag5 (PBE, the Alexandria database).

The value obtained for the formation energy is -1.7 eV per formula unit.

The structure belongs to space group Imm2 (No. 44); the cell edges are 5.644, 9.556 and 8.924 Å and the angles 90.00°, 90.00° and 90.00°. The distinct sites, in fractional coordinates, are Ho at (0.000, 0.000, 0.000), Ga at (0.000, 0.000, 0.351), Ga at (0.000, 0.000, 0.642), Ga at (0.000, 0.322, 0.506), Ga at (0.000, 0.346, 0.999), Ga at (0.000, 0.500, 0.269), Ag at (0.000, 0.500, 0.738) and Ag at (0.250, 0.243, 0.754).

***

5.
# Ho3Ga8Ag3

An optimized crystal structure of Ho3Ga8Ag3 (PBE, the Alexandria database).

The value obtained for the formation energy is -6.2 eV per formula unit.

The structure belongs to space group Immm (No. 71); the cell edges are 4.311, 9.551 and 12.987 Å and the angles 90.00°, 90.00° and 90.00°. The distinct sites, in fractional coordinates, are Ho at (0.000, 0.000, 0.000), Ho at (0.000, 0.000, 0.301), Ga at (0.000, 0.282, 0.144), Ga at (0.000, 0.369, 0.341), Ag at (0.000, 0.197, 0.500) and Ag at (0.000, 0.500, 0.000).

***

6.
# Ho3Ga9Ag2

An optimized crystal structure of Ho3Ga9Ag2 (PBE, the Alexandria database).

The value obtained for the formation energy is -6.1 eV per formula unit.

The structure belongs to space group Immm (No. 71); the cell edges are 4.227, 10.136 and 12.532 Å and the angles 90.00°, 90.00° and 90.00°. The distinct sites, in fractional coordinates, are Ho at (0.000, 0.000, 0.000), Ho at (0.000, 0.000, 0.317), Ga at (0.000, 0.276, 0.141), Ga at (0.000, 0.376, 0.336), Ga at (0.000, 0.500, 0.000) and Ag at (0.000, 0.216, 0.500).

***

7.
# HoGa2Ag

An optimized crystal structure of HoGa2Ag (PBE, the Alexandria database).

The value obtained for the formation energy is -1.1 eV per formula unit.

The structure belongs to space group P4/mmm (No. 123); the cell edges are 3.389, 3.389 and 6.916 Å and the angles 90.00°, 90.00° and 90.00°. The distinct sites, in fractional coordinates, are Ho at (0.000, 0.000, 0.000), Ga at (0.500, 0.500, 0.283) and Ag at (0.000, 0.000, 0.500).

***

8.
# HoGa2Ag3

An optimized crystal structure of HoGa2Ag3 (PBE, the Alexandria database).

The value obtained for the formation energy is -1.4 eV per formula unit. The relative energy among the computed polymorphs is 40 meV/atom.

The structure belongs to space group Immm (No. 71); the cell edges are 4.386, 7.982 and 13.632 Å and the angles 90.00°, 90.00° and 90.00°. The distinct sites, in fractional coordinates, are Ho at (0.000, 0.000, 0.133), Ga at (0.000, 0.346, 0.500), Ga at (0.000, 0.500, 0.194), Ag at (0.000, 0.200, 0.325) and Ag at (0.000, 0.330, 0.000).

***

9.
# Ho2Ga3Ag2

An optimized crystal structure of Ho2Ga3Ag2 (PBE, the Alexandria database).

The value obtained for the formation energy is -3.2 eV per formula unit. The relative energy among the computed polymorphs is 0 meV/atom.

The structure belongs to space group Cmcm (No. 63); the cell edges are 4.195, 18.835 and 7.329 Å and the angles 90.00°, 90.00° and 90.00°. The distinct sites, in fractional coordinates, are Ho at (0.000, 0.055, 0.250), Ho at (0.000, 0.154, 0.750), Ga at (0.000, 0.228, 0.250), Ga at (0.000, 0.443, 0.078) and Ag at (0.000, 0.314, 0.554).

***

10.
# HoGa4Ag2

An optimized crystal structure of HoGa4Ag2 (PBE, the Alexandria database).

The value obtained for the formation energy is -0.8 eV per formula unit.

The structure belongs to space group Cmmm (No. 65); the cell edges are 3.709, 22.813 and 3.265 Å and the angles 90.00°, 90.00° and 90.00°. The distinct sites, in fractional coordinates, are Ho at (0.000, 0.000, 0.000), Ga at (0.000, 0.145, 0.000), Ga at (0.000, 0.418, 0.500) and Ag at (0.000, 0.296, 0.500).

***

11.
# Ho2GaAg2

An optimized crystal structure of Ho2GaAg2 (PBE, the Alexandria database).

The value obtained for the formation energy is -1.8 eV per formula unit. The relative energy among the computed polymorphs is 12 meV/atom.

The structure belongs to space group Cmmm (No. 65); the cell edges are 4.438, 14.513 and 3.448 Å and the angles 90.00°, 90.00° and 90.00°. The distinct sites, in fractional coordinates, are Ho at (0.000, 0.113, 0.000), Ga at (0.000, 0.500, 0.500) and Ag at (0.000, 0.306, 0.500).

***

12.
# Ho2GaAg3

An optimized crystal structure of Ho2GaAg3 (PBE, the Alexandria database).

The value obtained for the formation energy is -1.5 eV per formula unit. The relative energy among the computed polymorphs is 98 meV/atom.

The structure belongs to space group Imm2 (No. 44); the cell edges are 3.674, 4.269 and 17.477 Å and the angles 90.00°, 90.00° and 90.00°. The distinct sites, in fractional coordinates, are Ho at (0.000, 0.000, 0.000), Ho at (0.000, 0.500, 0.236), Ga at (0.000, 0.000, 0.578), Ag at (0.000, 0.000, 0.427), Ag at (0.000, 0.500, 0.657) and Ag at (0.000, 0.500, 0.814).

***

13.
# HoGa4Ag4

An optimized crystal structure of HoGa4Ag4 (PBE, the Alexandria database).

The value obtained for the formation energy is -1.0 eV per formula unit.

The structure belongs to space group P4_2/nmc (No. 137, origin choice 2); the cell edges are 6.202, 6.202 and 9.156 Å and the angles 90.00°, 90.00° and 90.00°. The distinct sites, in fractional coordinates, are Ho at (0.250, 0.750, 0.250), Ga at (0.024, 0.250, 0.037) and Ag at (0.029, 0.250, 0.329).

***

14.
# Ho4GaAg3

An optimized crystal structure of Ho4GaAg3 (PBE, the Alexandria database).

The value obtained for the formation energy is -3.1 eV per formula unit.

The structure belongs to space group P4/mmm (No. 123); the cell edges are 3.566, 3.566 and 14.712 Å and the angles 90.00°, 90.00° and 90.00°. The distinct sites, in fractional coordinates, are Ho at (0.000, 0.000, 0.122), Ho at (0.000, 0.000, 0.374), Ga at (0.500, 0.500, 0.000), Ag at (0.500, 0.500, 0.248) and Ag at (0.500, 0.500, 0.500).

***

15.
# HoGa2Ag

An optimized crystal structure of HoGa2Ag (PBE, the Alexandria database).

The value obtained for the formation energy is -1.6 eV per formula unit.

The structure belongs to space group R-3m (No. 166, hexagonal axes); the cell edges are 4.3975, 4.3975 and 14.6122 Å and the angles 90.00°, 90.00° and 120.00°. The distinct sites, in fractional coordinates, are Ho at (0.0000, 0.0000, 0.0000), Ga at (0.0000, 0.0000, 0.2228) and Ag at (0.0000, 0.0000, 0.5000).

***

16.
# Ho2Ga4Ag3

An optimized crystal structure of Ho2Ga4Ag3 (PBE, the Alexandria database).

The value obtained for the formation energy is -3.2 eV per formula unit.

The structure belongs to space group Cmce (No. 64); the cell edges are 5.828, 15.771 and 7.709 Å and the angles 90.00°, 90.00° and 90.00°. The distinct sites, in fractional coordinates, are Ho at (0.000, 0.104, 0.095), Ga at (0.000, 0.171, 0.477), Ga at (0.250, 0.064, 0.750), Ag at (0.000, 0.000, 0.500) and Ag at (0.250, 0.233, 0.750).

***

17.
# Ho4Ga2Ag

An optimized crystal structure of Ho4Ga2Ag (PBE, the Alexandria database).

The value obtained for the formation energy is -2.6 eV per formula unit. The relative energy among the computed polymorphs is 0 meV/atom.

The structure belongs to space group R-3m (No. 166, hexagonal axes); the cell edges are 5.0253, 5.0253 and 24.3701 Å and the angles 90.00°, 90.00° and 120.00°. The distinct sites, in fractional coordinates, are Ho at (0.0000, 0.0000, 0.1203), Ho at (0.0000, 0.0000, 0.3716), Ga at (0.0000, 0.0000, 0.2504) and Ag at (0.0000, 0.0000, 0.5000).

***

18.
# Ho2Ga6Ag3

An optimized crystal structure of Ho2Ga6Ag3 (PBE, the Alexandria database).

The value obtained for the formation energy is -2.0 eV per formula unit.

The structure belongs to space group Cmmm (No. 65); the cell edges are 9.942, 11.838 and 3.840 Å and the angles 90.00°, 90.00° and 90.00°. The distinct sites, in fractional coordinates, are Ho at (0.000, 0.197, 0.000), Ga at (0.119, 0.000, 0.500), Ga at (0.190, 0.340, 0.500), Ag at (0.000, 0.500, 0.500) and Ag at (0.207, 0.500, 0.000).

***

19.
# HoGaAg2

An optimized crystal structure of HoGaAg2 (PBE, the Alexandria database).

The value obtained for the formation energy is -1.2 eV per formula unit. The relative energy among the computed polymorphs is 25 meV/atom.

The structure belongs to space group Cmcm (No. 63); the cell edges are 4.144, 16.977 and 9.476 Å and the angles 90.00°, 90.00° and 90.00°. The distinct sites, in fractional coordinates, are Ho at (0.000, 0.000, 0.000), Ho at (0.000, 0.187, 0.250), Ga at (0.000, 0.365, 0.526), Ag at (0.000, 0.205, 0.594), Ag at (0.000, 0.386, 0.250) and Ag at (0.000, 0.455, 0.750).

***

20.
# LaHoGaAg

An optimized crystal structure of LaHoGaAg (PBE, the Alexandria database).

The value obtained for the formation energy is -1.7 eV per formula unit.

The structure belongs to space group F-43m (No. 216); the cell edges are 7.424, 7.424 and 7.424 Å and the angles 90.00°, 90.00° and 90.00°. The distinct sites, in fractional coordinates, are La at (0.000, 0.000, 0.000), Ho at (0.000, 0.000, 0.500), Ga at (0.250, 0.250, 0.750) and Ag at (0.250, 0.250, 0.250).